No. 1
Material: Li2CaSmPd2
Method: DFT, PBE
State: relaxed

Cell: 4.3870 4.3870 7.6234 Å, 90.00 90.00 120.00°
Closest atoms and distances in Å follow each position.
Fractional positions:
Li (0.3333, 0.6667, 0.2396)  3 Pd 2.54
Li (0.6667, 0.3333, 0.7604)  3 Pd 2.54
Ca (0.0000, 0.0000, 0.0000)  6 Li 3.12, 6 Pd 3.26
Sm (0.0000, 0.0000, 0.5000)  6 Pd 3.09, 6 Li 3.22
Pd (0.3333, 0.6667, 0.7315)  3 Li 2.54
Pd (0.6667, 0.3333, 0.2685)  3 Li 2.54

Calculated values
ΔE_f = -0.4796 eV per atom

=====

No. 2
Material: MoAu3C
Method: DFT, PBE
State: relaxed

Cell: 4.3773 4.3773 4.3773 Å, 90.00 90.00 90.00°
Closest atoms and distances in Å follow each position.
Fractional positions:
Mo (0.0000, 0.0000, 0.0000)  12 Au 3.10
Au (0.0000, 0.5000, 0.5000)  2 C 2.19
Au (0.5000, 0.0000, 0.5000)  2 C 2.19
Au (0.5000, 0.5000, 0.0000)  2 C 2.19
C (0.5000, 0.5000, 0.5000)  6 Au 2.19

Calculated values
ΔE_f = 1.1323 eV per atom
Excess energy over the best structure of this formula in the dataset = 0.0 meV/atom

=====

No. 3
Material: YTiOs2
Method: DFT, PBE
State: relaxed

Cell: 9.1123 9.1123 9.1123 Å, 150.46 150.46 42.27°
Closest atoms and distances in Å follow each position.
Fractional positions:
Y (0.0000, 0.0000, 0.0000)  4 Os 3.07, 4 Ti 3.29
Y (0.7500, 0.2500, 0.5000)  4 Os 3.07, 4 Ti 3.29
Ti (0.2500, 0.7500, 0.5000)  4 Os 2.46
Ti (0.5000, 0.5000, 0.0000)  4 Os 2.46
Os (0.2819, 0.6250, 0.1569)  2 Ti 2.46, 2 Os 2.48
Os (0.3750, 0.5319, 0.6569)  2 Ti 2.46, 2 Os 2.48
Os (0.4681, 0.1250, 0.8431)  2 Ti 2.46, 2 Os 2.48
Os (0.8750, 0.7181, 0.3431)  2 Ti 2.46, 2 Os 2.48

Calculated values
ΔE_f = 0.4991 eV per atom
Excess energy over the best structure of this formula in the dataset = 798.9 meV/atom

=====

No. 4
Material: BaMg2W
Method: DFT, PBE
State: relaxed

Cell: 11.4711 11.4711 11.4711 Å, 15.60 15.60 15.60°
Closest atoms and distances in Å follow each position.
Fractional positions:
Ba (0.0000, 0.0000, 0.0000)  6 Ba 3.11
Mg (0.2357, 0.2357, 0.2357)  3 W 2.96, 6 Mg 3.11
Mg (0.7643, 0.7643, 0.7643)  3 W 2.96, 6 Mg 3.11
W (0.5000, 0.5000, 0.5000)  6 Mg 2.96, 6 W 3.11

Calculated values
ΔE_f = 0.7544 eV per atom
Excess energy over the best structure of this formula in the dataset = 136.4 meV/atom

=====

No. 5
Material: Zn6Ag5Au
Method: DFT, PBE
State: relaxed

Cell: 7.5923 7.5923 4.3196 Å, 105.67 105.67 54.90°
Closest atoms and distances in Å follow each position.
Fractional positions:
Zn (0.0810, 0.5879, 0.3341)  7 Ag 2.73-2.80, 1 Au 2.74, 3 Zn 3.00-3.06
Zn (0.2430, 0.7570, 0.0000)  2 Au 2.75, 6 Ag 2.77-2.81, 4 Zn 3.00-3.06
Zn (0.4121, 0.9190, 0.6659)  7 Ag 2.73-2.80, 1 Au 2.74, 3 Zn 3.00-3.06
Zn (0.5879, 0.0810, 0.3341)  7 Ag 2.73-2.80, 1 Au 2.74, 3 Zn 3.00-3.06
Zn (0.7570, 0.2430, 0.0000)  2 Au 2.75, 6 Ag 2.77-2.81, 4 Zn 3.00-3.06
Zn (0.9190, 0.4121, 0.6659)  7 Ag 2.73-2.80, 1 Au 2.74, 3 Zn 3.00-3.06
Ag (0.1724, 0.1724, 0.1729)  8 Zn 2.73-2.79, 2 Ag 2.99-3.04
Ag (0.3363, 0.3363, 0.8361)  8 Zn 2.77-2.80, 4 Ag 2.99-3.04
Ag (0.5000, 0.5000, 0.5000)  8 Zn 2.77-2.81, 4 Ag 2.99-3.04
Ag (0.6637, 0.6637, 0.1639)  8 Zn 2.77-2.80, 4 Ag 2.99-3.04
Ag (0.8276, 0.8276, 0.8271)  8 Zn 2.73-2.79, 2 Ag 2.99-3.04
Au (0.0000, 0.0000, 0.5000)  8 Zn 2.74-2.75, 2 Ag 3.06

Calculated values
ΔE_f = -0.0718 eV per atom
Excess energy over the best structure of this formula in the dataset = 0.0 meV/atom

=====

No. 6
Material: Na2MgCd4
Method: DFT, PBE
State: relaxed

Cell: 8.8422 8.8422 8.8422 Å, 144.57 144.57 50.98°
Closest atoms and distances in Å follow each position.
Fractional positions:
Na (0.1223, 0.1223, 0.0000)  5 Cd 3.10-3.32
Na (0.8777, 0.8777, 0.0000)  5 Cd 3.10-3.32
Mg (0.5000, 0.5000, 0.0000)  6 Cd 2.69-2.93
Cd (0.0000, 0.5000, 0.5000)  2 Mg 2.69
Cd (0.3163, 0.3163, 0.0000)  1 Mg 2.93, 1 Na 3.10
Cd (0.5000, 0.0000, 0.5000)  2 Mg 2.69
Cd (0.6837, 0.6837, 0.0000)  1 Mg 2.93, 1 Na 3.10

Calculated values
ΔE_f = 0.1838 eV per atom
Excess energy over the best structure of this formula in the dataset = 272.3 meV/atom

=====

No. 7
Material: LaEr2Zn3
Method: DFT, PBE
State: relaxed

Cell: 3.5942 3.5942 10.9290 Å, 90.00 90.00 90.00°
Closest atoms and distances in Å follow each position.
Fractional positions:
La (0.0000, 0.0000, 0.0000)  8 Zn 3.28, 4 La 3.59
Er (0.0000, 0.0000, 0.3403)  8 Zn 3.03-3.08
Er (0.0000, 0.0000, 0.6597)  8 Zn 3.03-3.08
Zn (0.5000, 0.5000, 0.1893)  4 Er 3.03, 4 La 3.28
Zn (0.5000, 0.5000, 0.5000)  8 Er 3.08, 2 Zn 3.40
Zn (0.5000, 0.5000, 0.8107)  4 Er 3.03, 4 La 3.28

Calculated values
ΔE_f = -0.3257 eV per atom

=====

No. 8
Material: Nb6Zn3N
Method: DFT, PBE
State: relaxed

Cell: 5.6614 5.6614 7.6502 Å, 121.25 121.25 56.86°
Closest atoms and distances in Å follow each position.
Fractional positions:
Nb (0.1570, 0.6685, 0.7265)  1 N 2.17
Nb (0.2472, 0.2472, 0.0796)  1 N 2.16
Nb (0.3315, 0.8430, 0.2735)  1 N 2.17
Nb (0.6685, 0.1570, 0.7265)  1 N 2.17
Nb (0.7528, 0.7528, 0.9204)  1 N 2.16
Nb (0.8430, 0.3315, 0.2735)  1 N 2.17
Zn (0.1441, 0.1441, 0.6658)  1 Zn 2.47, 1 Nb 2.69
Zn (0.5000, 0.5000, 0.5000)  6 Nb 2.67-2.73, 4 Zn 2.96
Zn (0.8559, 0.8559, 0.3342)  1 Zn 2.47, 1 Nb 2.69
N (0.0000, 0.0000, 0.0000)  6 Nb 2.16-2.17

Calculated values
Raw formation energy = -44 kJ/mol of formula units

=====

No. 9
Material: FeMoPt3
Method: DFT, PBE
State: relaxed

Cell: 4.4882 4.4882 4.4882 Å, 90.00 90.00 90.00°
Closest atoms and distances in Å follow each position.
Fractional positions:
Fe (0.0000, 0.0000, 0.0000)  6 Pt 2.24
Mo (0.5000, 0.5000, 0.5000)  12 Pt 3.17
Pt (0.0000, 0.0000, 0.5000)  2 Fe 2.24
Pt (0.0000, 0.5000, 0.0000)  2 Fe 2.24
Pt (0.5000, 0.0000, 0.0000)  2 Fe 2.24

Calculated values
ΔE_f = 1.3595 eV per atom
Excess energy over the best structure of this formula in the dataset = 0.0 meV/atom

=====

| no. | raw total energy (eV/atom) | V (Å³ per atom) |
| --- | --- | --- |
| 1 | -3.969 | 21.18 |
| 2 | -4.845 | 16.78 |
| 3 | -8.706 | 22.94 |
| 4 | -3.762 | 23.79 |
| 5 | -2.170 | 16.17 |
| 6 | -0.944 | 33.02 |
| 7 | -3.305 | 23.53 |
| 8 | -7.302 | 16.58 |
| 9 | -6.124 | 18.08 |